[1]
First-principles (GGA-PBE) data for an optimized crystal structure of TbCeU2S4, as listed in the Alexandria database.

The space group is P2/m (No. 10) and the conventional cell measures 6.7259, 3.8786 and 6.9029 Å, with angles of 90.00, 108.89 and 90.00 degrees. The inequivalent atoms are Tb at (0.0000, 0.0000, 0.0000), Ce at (0.5000, 0.5000, 0.0000), U at (0.0000, 0.5000, 0.5000), U at (0.5000, 0.0000, 0.5000), S at (0.2436, 0.0000, 0.7442) and S at (0.2468, 0.5000, 0.2526).

Its uncorrected formation energy is -1.688 eV/atom.

[2]
First-principles (GGA-PBE) data for an optimized crystal structure of Tb3Ce2YS6, as listed in the Alexandria database.

The space group is C2/m (No. 12) and the conventional cell measures 6.8423, 11.8648 and 6.8739 Å, with angles of 90.00, 109.50 and 90.00 degrees. The inequivalent atoms are Tb at (0.0000, 0.0000, 0.0000), Tb at (0.0000, 0.3333, 0.0000), Ce at (0.0000, 0.1663, 0.5000), Y at (0.0000, 0.5000, 0.5000), S at (0.2432, 0.5000, 0.2441) and S at (0.2495, 0.3356, 0.7558).

Its uncorrected formation energy is -2.026 eV/atom.

[3]
First-principles (GGA-PBE) data for an optimized crystal structure of Tb3CeY2S6, as listed in the Alexandria database.

The space group is C2/m (No. 12) and the conventional cell measures 17.1630, 3.9307 and 7.9093 Å, with angles of 90.00, 103.21 and 90.00 degrees. The inequivalent atoms are Tb at (0.0000, 0.0000, 0.0000), Tb at (0.1650, 0.5000, 0.3347), Ce at (0.0000, 0.0000, 0.5000), Y at (0.1651, 0.5000, 0.8292), S at (0.9995, 0.5000, 0.2430), S at (0.1679, 0.0000, 0.0825) and S at (0.1699, 0.0000, 0.5853).

Its uncorrected formation energy is -2.015 eV/atom.

[4]
First-principles (GGA-PBE) data for an optimized crystal structure of TbCe3Y2S6, as listed in the Alexandria database.

The space group is C2/m (No. 12) and the conventional cell measures 6.8497, 11.8728 and 6.9398 Å, with angles of 90.00, 109.26 and 90.00 degrees. The inequivalent atoms are Tb at (0.0000, 0.0000, 0.0000), Ce at (0.0000, 0.1665, 0.5000), Ce at (0.0000, 0.5000, 0.5000), Y at (0.0000, 0.3334, 0.0000), S at (0.2459, 0.5000, 0.2393) and S at (0.2468, 0.1670, 0.2394).

Its uncorrected formation energy is -2.034 eV/atom.

[5]
First-principles (GGA-PBE) data for an optimized crystal structure of TbCe3Y4S8, as listed in the Alexandria database.

The space group is R-3m (No. 166, hexagonal axes) and the conventional cell measures 7.8970, 7.8970 and 19.4858 Å, with angles of 90.00, 90.00 and 120.00 degrees. The inequivalent atoms are Tb at (0.0000, 0.0000, 0.0000), Ce at (0.0000, 0.5000, 0.0000), Y at (0.0000, 0.0000, 0.5000), Y at (0.0000, 0.5000, 0.5000), S at (0.0000, 0.0000, 0.2465) and S at (0.0039, 0.5019, 0.7523).

Its uncorrected formation energy is -2.025 eV/atom.

[6]
First-principles (GGA-PBE) data for an optimized crystal structure of TbCe2YS4, as listed in the Alexandria database.

The space group is P2/m (No. 10) and the conventional cell measures 6.8565, 3.9525 and 6.9404 Å, with angles of 90.00, 109.21 and 90.00 degrees. The inequivalent atoms are Tb at (0.0000, 0.0000, 0.0000), Ce at (0.0000, 0.5000, 0.5000), Ce at (0.5000, 0.0000, 0.5000), Y at (0.5000, 0.5000, 0.0000), S at (0.2471, 0.5000, 0.2398) and S at (0.2540, 0.0000, 0.7605).

Its uncorrected formation energy is -2.034 eV/atom.